## ZrZnNiAg (PBE)

Data for ZrZnNiAg after structural relaxation.

Calculated values
E_tot	-19.0	eV/cell
volume	16.35	A^3/atom
E_form	-0.143	eV per atom

Lattice parameters (Å, degrees): 4.5224 4.5224 4.5224 60.00 60.00 60.00
With the nearest neighbours (Å) after each atom.
Positions (direct):
Zr  0.0000  0.0000  0.0000  4 Ag 2.77, 4 Ni 2.77
Zn  0.5000  0.5000  0.5000  4 Ni 2.77, 4 Ag 2.77
Ni  0.2500  0.2500  0.2500  4 Zr 2.77, 4 Zn 2.77
Ag  0.7500  0.7500  0.7500  4 Zr 2.77, 4 Zn 2.77


## K2Ba2Li (PBE)

Data for K2Ba2Li after structural relaxation.

Calculated values
E_tot	-6.7	eV/cell
volume	61.12	A^3/atom
E_form	0.257	eV per atom

Lattice parameters (Å, degrees): 12.4206 12.4206 12.4206 156.45 156.45 33.55
With the nearest neighbours (Å) after each atom.
Positions (direct):
K  0.2500  0.7500  0.5000  4 K 3.58
K  0.7500  0.2500  0.5000  4 K 3.58
Ba  0.0855  0.0855  0.0000  1 Ba 4.07, 4 Li 4.12
Ba  0.9145  0.9145  0.0000  1 Ba 4.07, 4 Li 4.12
Li  0.5000  0.5000  0.0000  8 Ba 4.12


## Ho2HgIrC (PBE)

Data for Ho2HgIrC after structural relaxation.

Calculated values
E_tot	-30.3	eV/cell
volume	19.79	A^3/atom
E_form	-0.561	eV per atom

Lattice parameters (Å, degrees): 5.0394 5.0394 3.8958 90.00 90.00 90.00
With the nearest neighbours (Å) after each atom.
Positions (direct):
Ho  0.0000  0.5000  0.0000  2 C 2.52
Ho  0.5000  0.0000  0.0000  2 C 2.52
Hg  0.0000  0.0000  0.5000  8 Ho 3.18, 4 Ir 3.56
Ir  0.5000  0.5000  0.5000  2 C 1.95
C  0.5000  0.5000  0.0000  2 Ir 1.95